First-principles (PBE-GGA) data for a relaxed structure of ScMoS2, as listed in Alexandria.

Properties
spin magnetization = 1.0 μB/cell
symmetry = Fm-3m
formation energy (no corrections) = -3.1 eV/f.u.
V = 15.15 A^3/atom

a = 4.4088 Å, b = 4.4088 Å, c = 4.4088 Å
α = 60.00°, β = 60.00°, γ = 60.00°
Last column: magnetic moment on the atom in μB.
Positions (direct):
Sc 0.0000 0.0000 0.0000  0.15
Mo 0.5000 0.5000 0.5000  0.69
S 0.7500 0.7500 0.7500  -0.01
S 0.2500 0.2500 0.2500  -0.01